# Dy2IrRh

Crystalline Dy2IrRh at its relaxed geometry (GGA-PBE, the Alexandria database).

Cell: 4.8434 4.8434 4.8434 Å, 60.00 60.00 60.00°
Last column: nearest neighbours and their distance in Å.
Fractional positions:
Dy  0.2500  0.2500  0.2500  4 Rh 2.97, 4 Ir 2.97
Dy  0.7500  0.7500  0.7500  4 Ir 2.97, 4 Rh 2.97
Ir  0.0000  0.0000  0.0000  8 Dy 2.97
Rh  0.5000  0.5000  0.5000  8 Dy 2.97

The formation enthalpy at 0 K comes out at -84.27 kJ per mole of atoms. As for the symmetry: No. 225. The calculation puts the total magnetization at 0.00 μB/f.u.

***

# ErMg2Ga5

Crystalline ErMg2Ga5 at its relaxed geometry (GGA-PBE, the Alexandria database).

Cell: 4.3008 4.3008 8.8587 Å, 103.79 103.79 90.75°
Last column: nearest neighbours and their distance in Å.
Fractional positions:
Er  0.0000  0.0000  0.0000  12 Ga 3.02-3.06
Mg  0.2451  0.2451  0.4908  8 Ga 2.89-3.01, 4 Mg 3.02-3.06
Mg  0.7549  0.7549  0.5092  8 Ga 2.89-3.01, 4 Mg 3.02-3.06
Ga  0.1297  0.6276  0.2574  4 Mg 2.89-3.01, 6 Ga 3.02-3.07, 2 Er 3.04
Ga  0.3724  0.8703  0.7426  4 Mg 2.89-3.01, 6 Ga 3.02-3.07, 2 Er 3.04
Ga  0.5000  0.5000  0.0000  4 Er 3.02-3.06, 8 Ga 3.03-3.04
Ga  0.6276  0.1297  0.2574  4 Mg 2.89-3.01, 6 Ga 3.02-3.07, 2 Er 3.04
Ga  0.8703  0.3724  0.7426  4 Mg 2.89-3.01, 6 Ga 3.02-3.07, 2 Er 3.04

The formation enthalpy at 0 K comes out at -29.02 kJ per mole of atoms. As for the symmetry: No. 12. The calculation puts the total magnetization at 0.00 μB/f.u.

***

# Ta2TlIn

Crystalline Ta2TlIn at its relaxed geometry (GGA-PBE, the Alexandria database).

Cell: 6.2020 6.2020 6.2020 Å, 102.88 102.88 123.66°
Last column: nearest neighbours and their distance in Å.
Fractional positions:
Ta  0.1240  0.6250  0.9990  2 In 2.82, 2 Tl 2.84, 2 Ta 2.93
Ta  0.3750  0.3740  0.4990  2 In 2.82, 2 Tl 2.84, 2 Ta 2.93
Ta  0.6260  0.1250  0.0010  2 In 2.82, 2 Tl 2.84, 2 Ta 2.93
Ta  0.8750  0.8760  0.5010  2 In 2.82, 2 Tl 2.84, 2 Ta 2.93
Tl  0.2500  0.7500  0.5000  4 Ta 2.84, 2 In 2.93
Tl  0.5000  0.5000  0.0000  4 Ta 2.84, 2 In 2.93
In  0.0000  0.0000  0.0000  4 Ta 2.82, 2 Tl 2.93
In  0.7500  0.2500  0.5000  4 Ta 2.82, 2 Tl 2.93

The formation enthalpy at 0 K comes out at 83.39 kJ per mole of atoms. As for the symmetry: No. 122. The calculation puts the total magnetization at 0.00 μB/f.u.

***

# PmGa4IrRh2

Crystalline PmGa4IrRh2 at its relaxed geometry (GGA-PBE, the Alexandria database).

Cell: 9.1002 9.1002 9.1002 Å, 27.02 27.02 27.02°
Last column: nearest neighbours and their distance in Å.
Fractional positions:
Pm  0.0000  0.0000  0.0000  6 Ga 3.03
Ga  0.1316  0.1316  0.1316  4 Rh 2.60-2.71, 3 Ir 2.62
Ga  0.4007  0.4007  0.4007  3 Rh 2.59, 1 Ir 2.61
Ga  0.5993  0.5993  0.5993  3 Rh 2.59, 1 Ir 2.61
Ga  0.8684  0.8684  0.8684  4 Rh 2.60-2.71, 3 Ir 2.62
Ir  0.5000  0.5000  0.5000  8 Ga 2.61-2.62
Rh  0.2346  0.2346  0.2346  7 Ga 2.59-2.71
Rh  0.7654  0.7654  0.7654  7 Ga 2.59-2.71

The formation enthalpy at 0 K comes out at -62.56 kJ per mole of atoms. As for the symmetry: No. 166. The calculation puts the total magnetization at 0.00 μB/f.u.

***

# ErScMnIn

Crystalline ErScMnIn at its relaxed geometry (GGA-PBE, the Alexandria database).

Cell: 5.0268 5.0268 5.0268 Å, 60.00 60.00 60.00°
Last column: nearest neighbours and their distance in Å.
Fractional positions:
Er  0.0000  0.0000  0.0000  4 In 3.08, 4 Mn 3.08
Sc  0.5000  0.5000  0.5000  4 In 3.08, 4 Mn 3.08
Mn  0.2500  0.2500  0.2500  4 Sc 3.08, 4 Er 3.08
In  0.7500  0.7500  0.7500  4 Er 3.08, 4 Sc 3.08

The formation enthalpy at 0 K comes out at -10.12 kJ per mole of atoms. As for the symmetry: No. 216. The calculation puts the total magnetization at 3.28 μB/f.u.

***

# LiCaCeMg

Crystalline LiCaCeMg at its relaxed geometry (GGA-PBE, the Alexandria database).

Cell: 5.5126 5.5126 5.5126 Å, 60.00 60.00 60.00°
Last column: nearest neighbours and their distance in Å.
Fractional positions:
Li  0.0000  0.0000  0.0000  4 Ce 3.38, 4 Ca 3.38
Ca  0.7500  0.7500  0.7500  4 Li 3.38, 4 Mg 3.38
Ce  0.2500  0.2500  0.2500  4 Li 3.38, 4 Mg 3.38
Mg  0.5000  0.5000  0.5000  4 Ce 3.38, 4 Ca 3.38

The formation enthalpy at 0 K comes out at 11.76 kJ per mole of atoms. As for the symmetry: No. 216. The calculation puts the total magnetization at 1.42 μB/f.u.